VASP calculation (GGA+U) on an optimized crystal structure of Cr4CoO6. Values from VASP.

```
&SYSTEM
  ibrav = 0, nat = 22, ntyp = 3
/
ATOMIC_SPECIES
Cr 52.00 Cr.upf
Co 58.93 Co.upf
O 16.00 O.upf
CELL_PARAMETERS angstrom
5.163 -2.844 0.000
5.163 2.844 0.000
-4.299 0.000 8.564
ATOMIC_POSITIONS crystal
Cr 0.043 0.957 0.500
Cr 0.144 0.490 0.898
Cr 0.470 0.567 0.247
Cr 0.490 0.144 0.398
Cr 0.493 0.967 0.009
Cr 0.567 0.470 0.747
Cr 0.957 0.043 0.000
Cr 0.967 0.493 0.509
Co 0.545 0.963 0.660
Co 0.963 0.545 0.160
O 0.086 0.746 0.107
O 0.165 0.254 0.676
O 0.254 0.165 0.176
O 0.279 0.738 0.893
O 0.284 0.559 0.544
O 0.352 0.904 0.428
O 0.559 0.284 0.044
O 0.738 0.279 0.393
O 0.746 0.086 0.607
O 0.748 0.806 0.839
O 0.806 0.748 0.339
O 0.904 0.352 0.928
```

Values from the calculation:
Space-group type: Cc, No. 9
Total magnetization, μB per formula unit: 17.00
Total energy, eV per atom: -7.360